[1]
PBE Ce2NdDy3S6, optimized geometry; spin magnetization = 1.56 Bohr magnetons per cell; crystal system = monoclinic; symmetry = C2/m (12); uncorrected formation energy = -2.027 eV/atom
1.0
-2.276 -0.531 6.437
-3.922 -2.095 -5.208
4.695 -5.112 0.022
Ce Nd Dy S
2 1 3 6
Cartesian
-3.373 -1.573 -1.325 Ce
-2.825 -1.053 2.553 Ce
0.000 0.000 0.000 Nd
-1.304 -4.394 -3.286 Dy
-0.198 -3.344 4.537 Dy
-0.751 -3.869 0.626 Dy
-0.879 -5.457 2.886 S
-3.430 -3.308 0.929 S
-0.624 -2.280 -1.635 S
-1.432 -5.982 -1.024 S
1.927 -4.430 0.322 S
-0.071 -1.755 2.275 S

---

[2]
PBE Ce2NdDySb4, optimized geometry; spin magnetization = 1.54 Bohr magnetons per cell; crystal system = monoclinic; symmetry = P2/m (10); uncorrected formation energy = -1.101 eV/atom
1.0
-3.747 0.459 -2.401
-2.167 -7.176 2.008
-4.154 0.294 6.538
Ce Nd Dy Sb
2 1 1 4
Cartesian
-4.154 0.294 6.538 Ce
-3.950 0.377 2.069 Ce
-7.110 -3.064 6.342 Nd
-3.160 -3.441 4.273 Dy
-4.722 -5.163 6.381 Sb
-5.345 -1.259 -0.236 Sb
-4.552 -5.055 1.969 Sb
-5.515 -1.368 4.176 Sb

---

So what do the calculations give for V? Going down the list: 266.0; 253.8 Å³ per cell.